! NiSn2F (PBE with a Hubbard U, optimized geometry); values from VASP
! - Volume: 21.997 A^3/atom
! - Crystal system: tetragonal
! - E: -26.35 eV for the cell shown
! - SG: I-42d
&SYSTEM
  ibrav = 0, nat = 8, ntyp = 3
/
ATOMIC_SPECIES
Ni 58.69 Ni.upf
Sn 118.71 Sn.upf
F 19.00 F.upf
CELL_PARAMETERS angstrom
5.217 0.000 0.000
0.000 5.217 0.000
2.609 2.609 6.466
ATOMIC_POSITIONS crystal
Ni 0.000 0.000 0.000
Ni 0.750 0.250 0.500
Sn 0.627 0.125 0.250
Sn 0.123 0.625 0.250
Sn 0.375 0.373 0.750
Sn 0.875 0.877 0.750
F 0.500 0.500 0.000
F 0.250 0.750 0.500